The following is a PBE+U calculation of a relaxed ZrCrNF2 crystal, from the Alexandria database.

Values from the calculation:
For the density of states at the Fermi level, the calculation gives 0.5 states/eV/f.u. The total energy comes out at -7.220 eV per atom. Its total moment is 5.00 Bohr magnetons per cell.

a = 4.2501 Å, b = 4.2501 Å, c = 4.2386 Å
α = 90.00°, β = 90.00°, γ = 90.00°
Last column: nearest neighbours and their distance in Å.
Element x y z (fractional)
F1 0.5000 0.0000 0.0000  2 Zr 2.13
F2 0.0000 0.5000 0.0000  2 Zr 2.13
N1 0.0000 0.0000 0.5000  2 Zr 2.12
Zr1 0.0000 0.0000 0.0000  2 N 2.12, 4 F 2.13
Cr1 0.5000 0.5000 0.5000  8 F 3.00, 4 N 3.01